## NaNiP2Se8 (PBE)

Data for a geometry-optimized NaNiP2Se8 structure.

The space group is P-3 (No. 147) and the conventional cell measures 5.7537, 5.7537 and 10.9321 Å, with angles of 90.00, 90.00 and 120.00 degrees. The asymmetric unit holds Na at (0.0000, 0.0000, 0.0000), Ni at (0.0000, 0.0000, 0.5000), P at (0.3333, 0.6667, 0.7170), Se at (0.0509, 0.7042, 0.3571) and Se at (0.3333, 0.6667, 0.9145).

The value obtained for the uncorrected formation energy is -0.11 eV/atom. The value obtained for the total moment is 0.00 μB/f.u. The final energy is -3.93 eV/atom.